This record from Alexandria describes a geometry-optimized Al2AgPd9 structure. The functional is PBE-GGA.

Cell: 3.954 3.954 11.725 Å, 90.00 90.00 90.00°
Sites, in units of the cell vectors:
Pd: 0.500 0.500 0.663
Pd: 0.500 0.000 0.825
Pd: 0.000 0.500 0.825
Pd: 0.000 0.500 0.175
Pd: 0.500 0.000 0.500
Pd: 0.500 0.500 0.000
Pd: 0.000 0.500 0.500
Pd: 0.500 0.000 0.175
Pd: 0.500 0.500 0.337
Al: 0.000 0.000 0.666
Al: 0.000 0.000 0.334
Ag: 0.000 0.000 0.000

Output
Formation energy from the elements, kJ per mole of atoms: -38
Magnetization, μB/cell: 0.0
Calculated total energy, eV per cell: -61.85